Crystalline TbY2AgHg3Au2 at its relaxed geometry, computed with PBE-GGA.

The structure in CIF format:
```
data_TbY2AgHg3Au2
_chemical_formula_sum 'Tb2 Y4 Ag2 Hg6 Au4'
_cell_length_a 3.753
_cell_length_b 13.841
_cell_length_c 7.991
_cell_angle_alpha 90.00
_cell_angle_beta 90.00
_cell_angle_gamma 90.00
_space_group_name_H-M_alt 'A m m 2'
_space_group_IT_number 38
loop_
_space_group_symop_operation_xyz
'x,y,z'
'-x,-y,z'
'-x,y,z'
'x,-y,z'
'x,y+1/2,z+1/2'
'-x,-y+1/2,z+1/2'
'-x,y+1/2,z+1/2'
'x,-y+1/2,z+1/2'
loop_
_atom_site_label
_atom_site_type_symbol
_atom_site_fract_x
_atom_site_fract_y
_atom_site_fract_z
Tb1 Tb 0.000 0.000 0.000
Y1 Y 0.000 0.202 0.606
Ag1 Ag 0.000 0.000 0.404
Hg1 Hg 0.500 0.000 0.674
Hg2 Hg 0.500 0.136 0.269
Au1 Au 0.500 0.166 0.904
```

Results
DFT formation energy   -591 meV per atom

Crystalline ZrAgHgAu at its relaxed geometry, computed with PBE-GGA.

The structure in CIF format:
```
data_ZrAgHgAu
_chemical_formula_sum 'Zr4 Ag4 Hg4 Au4'
_cell_length_a 6.794
_cell_length_b 6.794
_cell_length_c 6.794
_cell_angle_alpha 90.00
_cell_angle_beta 90.00
_cell_angle_gamma 90.00
_space_group_name_H-M_alt 'F -4 3 m'
_space_group_IT_number 216
_space_group_name_Hall 'F -4 2 3'
loop_
_atom_site_label
_atom_site_type_symbol
_atom_site_fract_x
_atom_site_fract_y
_atom_site_fract_z
Zr1 Zr 0.000 0.000 0.000
Ag1 Ag 0.000 0.000 0.500
Hg1 Hg 0.250 0.250 0.750
Au1 Au 0.250 0.250 0.250
```

Results
Energy above the lowest structure with this stoichiometry   0.0 meV/atom
DFT formation energy   -238 meV per atom

Crystalline ZrAgHgAu at its relaxed geometry, computed with PBE-GGA.

The structure in CIF format:
```
data_ZrAgHgAu
_chemical_formula_sum 'Zr4 Ag4 Hg4 Au4'
_cell_length_a 6.776
_cell_length_b 6.776
_cell_length_c 6.776
_cell_angle_alpha 90.00
_cell_angle_beta 90.00
_cell_angle_gamma 90.00
_space_group_name_H-M_alt 'F -4 3 m'
_space_group_IT_number 216
_space_group_name_Hall 'F -4 2 3'
loop_
_atom_site_label
_atom_site_type_symbol
_atom_site_fract_x
_atom_site_fract_y
_atom_site_fract_z
Zr1 Zr 0.000 0.000 0.000
Ag1 Ag 0.250 0.250 0.250
Hg1 Hg 0.250 0.250 0.750
Au1 Au 0.000 0.000 0.500
```

Results
Energy above the lowest structure with this stoichiometry   97.1 meV/atom
DFT formation energy   -141 meV per atom

Crystalline ZrAgHgAu at its relaxed geometry, computed with PBE-GGA.

The structure in CIF format:
```
data_ZrAgHgAu
_chemical_formula_sum 'Zr4 Ag4 Hg4 Au4'
_cell_length_a 6.785
_cell_length_b 6.785
_cell_length_c 6.785
_cell_angle_alpha 90.00
_cell_angle_beta 90.00
_cell_angle_gamma 90.00
_space_group_name_H-M_alt 'F -4 3 m'
_space_group_IT_number 216
_space_group_name_Hall 'F -4 2 3'
loop_
_atom_site_label
_atom_site_type_symbol
_atom_site_fract_x
_atom_site_fract_y
_atom_site_fract_z
Zr1 Zr 0.000 0.000 0.000
Ag1 Ag 0.250 0.250 0.750
Hg1 Hg 0.000 0.000 0.500
Au1 Au 0.250 0.250 0.250
```

Results
Energy above the lowest structure with this stoichiometry   32.4 meV/atom
DFT formation energy   -205 meV per atom

Crystalline HoAg6Au at its relaxed geometry, computed with PBE-GGA.

The structure in CIF format:
```
data_HoAg6Au
_chemical_formula_sum 'Ho1 Ag6 Au1'
_cell_length_a 4.912
_cell_length_b 5.994
_cell_length_c 5.146
_cell_angle_alpha 90.00
_cell_angle_beta 90.00
_cell_angle_gamma 90.00
_space_group_name_H-M_alt 'P m m 2'
_space_group_IT_number 25
loop_
_space_group_symop_operation_xyz
'x,y,z'
'-x,-y,z'
'-x,y,z'
'x,-y,z'
loop_
_atom_site_label
_atom_site_type_symbol
_atom_site_fract_x
_atom_site_fract_y
_atom_site_fract_z
Ho1 Ho 0.000 0.000 0.000
Ag1 Ag 0.000 0.262 0.499
Ag2 Ag 0.000 0.500 0.998
Ag3 Ag 0.500 0.000 0.653
Ag4 Ag 0.500 0.258 0.177
Au1 Au 0.500 0.500 0.685
```

Results
DFT formation energy   -110 meV per atom

Crystalline HoAg2Au at its relaxed geometry, computed with PBE-GGA.

The structure in CIF format:
```
data_HoAg2Au
_chemical_formula_sum 'Ho2 Ag4 Au2'
_cell_length_a 5.024
_cell_length_b 6.007
_cell_length_c 5.272
_cell_angle_alpha 90.00
_cell_angle_beta 90.00
_cell_angle_gamma 90.00
_space_group_name_H-M_alt 'P m m n'
_space_group_IT_number 59
loop_
_space_group_symop_operation_xyz
'x,y,z'
'-x,-y,-z'
'-x+1/2,-y+1/2,z'
'x+1/2,y+1/2,-z'
'x+1/2,-y,-z'
'-x+1/2,y,z'
'-x,y+1/2,-z'
'x,-y+1/2,z'
loop_
_atom_site_label
_atom_site_type_symbol
_atom_site_fract_x
_atom_site_fract_y
_atom_site_fract_z
Ho1 Ho 0.250 0.250 0.138
Ag1 Ag 0.250 0.505 0.644
Au1 Au 0.250 0.750 0.158
```

Results
DFT formation energy   -462 meV per atom

Crystalline Ho2AgAu3 at its relaxed geometry, computed with PBE-GGA.

The structure in CIF format:
```
data_Ho2AgAu3
_chemical_formula_sum 'Ho2 Ag1 Au3'
_cell_length_a 3.727
_cell_length_b 3.727
_cell_length_c 9.108
_cell_angle_alpha 90.00
_cell_angle_beta 90.00
_cell_angle_gamma 90.00
_space_group_name_H-M_alt 'P 4 m m'
_space_group_IT_number 99
loop_
_space_group_symop_operation_xyz
'x,y,z'
'-y,x,z'
'-x,-y,z'
'y,-x,z'
'-x,y,z'
'y,x,z'
'x,-y,z'
'-y,-x,z'
loop_
_atom_site_label
_atom_site_type_symbol
_atom_site_fract_x
_atom_site_fract_y
_atom_site_fract_z
Ho1 Ho 0.000 0.000 0.000
Ho2 Ho 0.500 0.500 0.491
Ag1 Ag 0.000 0.000 0.668
Au1 Au 0.000 0.000 0.337
Au2 Au 0.500 0.500 0.160
Au3 Au 0.500 0.500 0.829
```

Results
DFT formation energy   -761 meV per atom

Crystalline Ho2Ag3Au at its relaxed geometry, computed with PBE-GGA.

The structure in CIF format:
```
data_Ho2Ag3Au
_chemical_formula_sum 'Ho2 Ag3 Au1'
_cell_length_a 3.707
_cell_length_b 3.707
_cell_length_c 9.173
_cell_angle_alpha 90.00
_cell_angle_beta 90.00
_cell_angle_gamma 90.00
_space_group_name_H-M_alt 'P 4 m m'
_space_group_IT_number 99
loop_
_space_group_symop_operation_xyz
'x,y,z'
'-y,x,z'
'-x,-y,z'
'y,-x,z'
'-x,y,z'
'y,x,z'
'x,-y,z'
'-y,-x,z'
loop_
_atom_site_label
_atom_site_type_symbol
_atom_site_fract_x
_atom_site_fract_y
_atom_site_fract_z
Ho1 Ho 0.000 0.000 0.000
Ho2 Ho 0.500 0.500 0.491
Ag1 Ag 0.000 0.000 0.669
Ag2 Ag 0.500 0.500 0.164
Ag3 Ag 0.500 0.500 0.827
Au1 Au 0.000 0.000 0.334
```

Results
DFT formation energy   -487 meV per atom

Crystalline HoMg2AgAu4 at its relaxed geometry, computed with PBE-GGA.

The structure in CIF format:
```
data_HoMg2AgAu4
_chemical_formula_sum 'Ho1 Mg2 Ag1 Au4'
_cell_length_a 4.799
_cell_length_b 4.799
_cell_length_c 6.751
_cell_angle_alpha 90.00
_cell_angle_beta 90.00
_cell_angle_gamma 90.00
_space_group_name_H-M_alt 'P 4/m m m'
_space_group_IT_number 123
_space_group_name_Hall '-P 4 2'
loop_
_atom_site_label
_atom_site_type_symbol
_atom_site_fract_x
_atom_site_fract_y
_atom_site_fract_z
Ho1 Ho 0.000 0.000 0.000
Mg1 Mg 0.000 0.000 0.500
Mg2 Mg 0.500 0.500 0.000
Ag1 Ag 0.500 0.500 0.500
Au1 Au 0.000 0.500 0.257
```

Crystalline Ho2Mg2AgAu3 at its relaxed geometry, computed with PBE-GGA.

The structure in CIF format:
```
data_Ho2Mg2AgAu3
_chemical_formula_sum 'Ho2 Mg2 Ag1 Au3'
_cell_length_a 4.901
_cell_length_b 4.900
_cell_length_c 6.915
_cell_angle_alpha 90.00
_cell_angle_beta 90.00
_cell_angle_gamma 90.00
_space_group_name_H-M_alt 'P 1 m 1'
_space_group_IT_number 6
loop_
_space_group_symop_operation_xyz
'x,y,z'
'x,-y,z'
loop_
_atom_site_label
_atom_site_type_symbol
_atom_site_fract_x
_atom_site_fract_y
_atom_site_fract_z
Ho1 Ho 0.000 0.000 0.000
Ho2 Ho 0.492 0.500 0.491
Mg1 Mg 0.494 0.500 0.997
Mg2 Mg 0.998 0.000 0.494
Ag1 Ag 0.991 0.500 0.746
Au1 Au 0.501 0.000 0.246
Au2 Au 0.501 0.000 0.746
Au3 Au 0.991 0.500 0.246
```

Crystalline Y2HoMg3AgAu2 at its relaxed geometry, computed with PBE-GGA.

The structure in CIF format:
```
data_Y2HoMg3AgAu2
_chemical_formula_sum 'Y4 Ho2 Mg6 Ag2 Au4'
_cell_length_a 3.988
_cell_length_b 13.382
_cell_length_c 7.749
_cell_angle_alpha 90.00
_cell_angle_beta 90.00
_cell_angle_gamma 90.00
_space_group_name_H-M_alt 'A m m 2'
_space_group_IT_number 38
loop_
_space_group_symop_operation_xyz
'x,y,z'
'-x,-y,z'
'-x,y,z'
'x,-y,z'
'x,y+1/2,z+1/2'
'-x,-y+1/2,z+1/2'
'-x,y+1/2,z+1/2'
'x,-y+1/2,z+1/2'
loop_
_atom_site_label
_atom_site_type_symbol
_atom_site_fract_x
_atom_site_fract_y
_atom_site_fract_z
Y1 Y 0.000 0.207 0.000
Ho1 Ho 0.000 0.000 0.379
Mg1 Mg 0.500 0.000 0.043
Mg2 Mg 0.500 0.125 0.668
Ag1 Ag 0.000 0.000 0.791
Au1 Au 0.500 0.165 0.294
```

Crystalline HoSi2AgAu at its relaxed geometry, computed with PBE-GGA.

The structure in CIF format:
```
data_HoSi2AgAu
_chemical_formula_sum 'Ho2 Si4 Ag2 Au2'
_cell_length_a 4.185
_cell_length_b 4.185
_cell_length_c 10.481
_cell_angle_alpha 90.00
_cell_angle_beta 90.00
_cell_angle_gamma 90.00
_space_group_name_H-M_alt 'I -4 m 2'
_space_group_IT_number 119
_space_group_name_Hall 'I -4 -2'
loop_
_atom_site_label
_atom_site_type_symbol
_atom_site_fract_x
_atom_site_fract_y
_atom_site_fract_z
Ho1 Ho 0.000 0.000 0.000
Si1 Si 0.000 0.000 0.391
Ag1 Ag 0.000 0.500 0.250
Au1 Au 0.000 0.500 0.750
```

Crystalline TbHo2Zn3AgAu2 at its relaxed geometry, computed with PBE-GGA.

The structure in CIF format:
```
data_TbHo2Zn3AgAu2
_chemical_formula_sum 'Tb2 Ho4 Zn6 Ag2 Au4'
_cell_length_a 3.830
_cell_length_b 13.053
_cell_length_c 7.517
_cell_angle_alpha 90.00
_cell_angle_beta 90.00
_cell_angle_gamma 90.00
_space_group_name_H-M_alt 'A m m 2'
_space_group_IT_number 38
loop_
_space_group_symop_operation_xyz
'x,y,z'
'-x,-y,z'
'-x,y,z'
'x,-y,z'
'x,y+1/2,z+1/2'
'-x,-y+1/2,z+1/2'
'-x,y+1/2,z+1/2'
'x,-y+1/2,z+1/2'
loop_
_atom_site_label
_atom_site_type_symbol
_atom_site_fract_x
_atom_site_fract_y
_atom_site_fract_z
Tb1 Tb 0.000 0.000 0.000
Ho1 Ho 0.000 0.203 0.610
Zn1 Zn 0.500 0.000 0.665
Zn2 Zn 0.500 0.129 0.278
Ag1 Ag 0.000 0.000 0.408
Au1 Au 0.500 0.168 0.906
```

Results
DFT formation energy   -584 meV per atom

Crystalline Ho2TmZn3AgAu2 at its relaxed geometry, computed with PBE-GGA.

The structure in CIF format:
```
data_Ho2TmZn3AgAu2
_chemical_formula_sum 'Ho4 Tm2 Zn6 Ag2 Au4'
_cell_length_a 3.856
_cell_length_b 12.897
_cell_length_c 7.455
_cell_angle_alpha 90.00
_cell_angle_beta 90.00
_cell_angle_gamma 90.00
_space_group_name_H-M_alt 'A m m 2'
_space_group_IT_number 38
loop_
_space_group_symop_operation_xyz
'x,y,z'
'-x,-y,z'
'-x,y,z'
'x,-y,z'
'x,y+1/2,z+1/2'
'-x,-y+1/2,z+1/2'
'-x,y+1/2,z+1/2'
'x,-y+1/2,z+1/2'
loop_
_atom_site_label
_atom_site_type_symbol
_atom_site_fract_x
_atom_site_fract_y
_atom_site_fract_z
Ho1 Ho 0.000 0.205 0.000
Tm1 Tm 0.000 0.000 0.386
Zn1 Zn 0.500 0.000 0.050
Zn2 Zn 0.500 0.127 0.668
Ag1 Ag 0.000 0.000 0.794
Au1 Au 0.500 0.165 0.296
```

Results
DFT formation energy   -586 meV per atom

Crystalline YHo2Zn3AgAu2 at its relaxed geometry, computed with PBE-GGA.

The structure in CIF format:
```
data_YHo2Zn3AgAu2
_chemical_formula_sum 'Y2 Ho4 Zn6 Ag2 Au4'
_cell_length_a 3.824
_cell_length_b 13.056
_cell_length_c 7.521
_cell_angle_alpha 90.00
_cell_angle_beta 90.00
_cell_angle_gamma 90.00
_space_group_name_H-M_alt 'A m m 2'
_space_group_IT_number 38
loop_
_space_group_symop_operation_xyz
'x,y,z'
'-x,-y,z'
'-x,y,z'
'x,-y,z'
'x,y+1/2,z+1/2'
'-x,-y+1/2,z+1/2'
'-x,y+1/2,z+1/2'
'x,-y+1/2,z+1/2'
loop_
_atom_site_label
_atom_site_type_symbol
_atom_site_fract_x
_atom_site_fract_y
_atom_site_fract_z
Y1 Y 0.000 0.000 0.000
Ho1 Ho 0.000 0.203 0.391
Zn1 Zn 0.500 0.000 0.335
Zn2 Zn 0.500 0.129 0.723
Ag1 Ag 0.000 0.000 0.592
Au1 Au 0.500 0.168 0.094
```

Results
DFT formation energy   -586 meV per atom

Crystalline In2AgAu at its relaxed geometry, computed with PBE-GGA.

The structure in CIF format:
```
data_In2AgAu
_chemical_formula_sum 'In8 Ag4 Au4'
_cell_length_a 7.014
_cell_length_b 7.014
_cell_length_c 7.014
_cell_angle_alpha 90.00
_cell_angle_beta 90.00
_cell_angle_gamma 90.00
_space_group_name_H-M_alt 'F -4 3 m'
_space_group_IT_number 216
_space_group_name_Hall 'F -4 2 3'
loop_
_atom_site_label
_atom_site_type_symbol
_atom_site_fract_x
_atom_site_fract_y
_atom_site_fract_z
In1 In 0.000 0.000 0.000
In2 In 0.250 0.250 0.250
Ag1 Ag 0.000 0.000 0.500
Au1 Au 0.250 0.250 0.750
```

Crystalline InAg2Au at its relaxed geometry, computed with PBE-GGA.

The structure in CIF format:
```
data_InAg2Au
_chemical_formula_sum 'In4 Ag8 Au4'
_cell_length_a 6.674
_cell_length_b 6.674
_cell_length_c 6.674
_cell_angle_alpha 90.00
_cell_angle_beta 90.00
_cell_angle_gamma 90.00
_space_group_name_H-M_alt 'F -4 3 m'
_space_group_IT_number 216
_space_group_name_Hall 'F -4 2 3'
loop_
_atom_site_label
_atom_site_type_symbol
_atom_site_fract_x
_atom_site_fract_y
_atom_site_fract_z
In1 In 0.000 0.000 0.000
Ag1 Ag 0.000 0.000 0.500
Ag2 Ag 0.250 0.250 0.750
Au1 Au 0.250 0.250 0.250
```

Crystalline InAgAu2 at its relaxed geometry, computed with PBE-GGA.

The structure in CIF format:
```
data_InAgAu2
_chemical_formula_sum 'In4 Ag4 Au8'
_cell_length_a 6.708
_cell_length_b 6.708
_cell_length_c 6.708
_cell_angle_alpha 90.00
_cell_angle_beta 90.00
_cell_angle_gamma 90.00
_space_group_name_H-M_alt 'F -4 3 m'
_space_group_IT_number 216
_space_group_name_Hall 'F -4 2 3'
loop_
_atom_site_label
_atom_site_type_symbol
_atom_site_fract_x
_atom_site_fract_y
_atom_site_fract_z
In1 In 0.000 0.000 0.000
Ag1 Ag 0.250 0.250 0.250
Au1 Au 0.000 0.000 0.500
Au2 Au 0.250 0.250 0.750
```

Crystalline Y3In3AgIrAu at its relaxed geometry, computed with PBE-GGA.

The structure in CIF format:
```
data_Y3In3AgIrAu
_chemical_formula_sum 'Y3 In3 Ag1 Ir1 Au1'
_cell_length_a 7.8947
_cell_length_b 7.8947
_cell_length_c 3.7930
_cell_angle_alpha 90.00
_cell_angle_beta 90.00
_cell_angle_gamma 120.00
_space_group_name_H-M_alt 'P -6'
_space_group_IT_number 174
loop_
_space_group_symop_operation_xyz
'x,y,z'
'-x+y,-x,-z'
'-y,x-y,z'
'x,y,-z'
'-x+y,-x,z'
'-y,x-y,-z'
loop_
_atom_site_label
_atom_site_type_symbol
_atom_site_fract_x
_atom_site_fract_y
_atom_site_fract_z
Y1 Y 0.0222 0.4184 0.0000
In1 In 0.9997 0.7306 0.5000
Ag1 Ag 0.0000 0.0000 0.0000
Ir1 Ir 0.3333 0.6667 0.5000
Au1 Au 0.6667 0.3333 0.5000
```

Crystalline K2InAg2Au at its relaxed geometry, computed with PBE-GGA.

The structure in CIF format:
```
data_K2InAg2Au
_chemical_formula_sum 'K4 In2 Ag4 Au2'
_cell_length_a 5.664
_cell_length_b 6.605
_cell_length_c 9.318
_cell_angle_alpha 90.00
_cell_angle_beta 90.00
_cell_angle_gamma 90.00
_space_group_name_H-M_alt 'P m m a'
_space_group_IT_number 51
loop_
_space_group_symop_operation_xyz
'x,y,z'
'-x,-y,-z'
'-x+1/2,-y,z'
'x+1/2,y,-z'
'x+1/2,-y,-z'
'-x+1/2,y,z'
'-x,y,-z'
'x,-y,z'
loop_
_atom_site_label
_atom_site_type_symbol
_atom_site_fract_x
_atom_site_fract_y
_atom_site_fract_z
K1 K 0.250 0.000 0.130
K2 K 0.250 0.500 0.363
In1 In 0.250 0.500 0.931
Ag1 Ag 0.250 0.216 0.715
Au1 Au 0.000 0.000 0.500
```

Number 1: raw total energy -3.681 eV per atom. Number 2: raw total energy -3.972 eV per atom. Number 3: raw total energy -3.875 eV per atom. Number 4: raw total energy -3.939 eV per atom. Number 5: raw total energy -3.209 eV per atom. Number 6: raw total energy -3.835 eV per atom. Number 7: raw total energy -4.391 eV per atom. Number 8: raw total energy -3.969 eV per atom. Number 9: raw total energy -3.491 eV per atom. Number 10: raw total energy -3.786 eV per atom. Number 11: raw total energy -4.066 eV per atom. Number 12: raw total energy -4.775 eV per atom. Number 13: raw total energy -3.577 eV per atom. Number 14: raw total energy -3.562 eV per atom. Number 15: raw total energy -3.783 eV per atom. Number 16: raw total energy -2.867 eV per atom. Number 17: raw total energy -3.002 eV per atom. Number 18: raw total energy -3.111 eV per atom. Number 19: raw total energy -5.401 eV per atom. Number 20: raw total energy -2.463 eV per atom.